[1]
Compound: KSi2AgAs
Source: Alexandria via LeMat-Bulk
Functional: GGA-PBE
Structure: optimized geometry

The structure in POSCAR format:
```
KSi2AgAs
1.0
5.3834 0.0000 0.0000
0.0000 5.3834 0.0000
0.0000 0.0000 5.5197
K Si Ag As
1 2 1 1
direct
0.0000 0.0000 0.0000
0.0000 0.5000 0.0000
0.5000 0.0000 0.0000
0.5000 0.5000 0.5000
0.0000 0.0000 0.5000
```

Properties
Its energy relative to the elements, uncorrected is 1940 meV/atom. The calculation puts the energy at -1.95 eV/atom. The calculation puts the mass density at 2.9 g/cm³. As for the symmetry: P4/mmm. Its density of states at the Fermi level is 9.349 states/eV/f.u.

[2]
Compound: KTaAgAs2
Source: Alexandria via LeMat-Bulk
Functional: GGA-PBE
Structure: optimized geometry

The structure in POSCAR format:
```
KTaAgAs2
1.0
5.2832 0.0000 0.0000
0.0000 5.2832 0.0000
0.0000 0.0000 4.8672
K Ta Ag As
1 1 1 2
direct
0.0000 0.0000 0.0000
0.0000 0.0000 0.5000
0.5000 0.5000 0.5000
0.0000 0.5000 0.0000
0.5000 0.0000 0.0000
```

Properties
Its formation enthalpy at 0 K is 2.313 eV/atom. The calculation puts the energy at -2.71 eV/atom. The calculation puts the mass density at 5.8 g/cm³. As for the symmetry: P4/mmm. Its density of states at the Fermi level is 7.963 states/eV/f.u.

[3]
Compound: KAg2Te4As
Source: Alexandria via LeMat-Bulk
Functional: GGA-PBE
Structure: optimized geometry

The structure in POSCAR format:
```
KAg2Te4As
1.0
-3.7335 3.9418 4.5757
3.7335 -3.9418 4.5757
3.7335 3.9418 -4.5757
K Ag Te As
1 2 4 1
direct
0.0000 0.0000 0.0000
0.3268 0.8268 0.5000
0.6732 0.1732 0.5000
0.1388 0.1363 0.6032
0.4669 0.8637 0.0025
0.5331 0.5356 0.3968
0.8612 0.4644 0.9975
0.5000 0.5000 0.0000
```

Properties
Its energy relative to the elements, uncorrected is -187 meV/atom. The calculation puts the energy at -3.19 eV/atom. The calculation puts the mass density at 5.2 g/cm³. As for the symmetry: I222. Its density of states at the Fermi level is 1.495 states/eV/f.u.

[4]
Compound: KAgTe4As2
Source: Alexandria via LeMat-Bulk
Functional: GGA-PBE
Structure: optimized geometry

The structure in POSCAR format:
```
KAgTe4As2
1.0
-3.1468 4.2149 4.7331
3.1468 -4.2149 4.7331
3.1468 4.2149 -4.7331
K Ag Te As
1 1 4 2
direct
0.0000 0.0000 0.0000
0.5000 0.5000 0.0000
0.0641 0.1243 0.6178
0.4935 0.8757 0.9398
0.5065 0.4463 0.3822
0.9359 0.5537 0.0602
0.3629 0.8629 0.5000
0.6371 0.1371 0.5000
```

Properties
Its energy relative to the elements, uncorrected is -75 meV/atom. The calculation puts the energy at -3.30 eV/atom. The calculation puts the mass density at 5.3 g/cm³. As for the symmetry: I222. Its density of states at the Fermi level is 1.680 states/eV/f.u.

[5]
Compound: KAg2AsW
Source: Alexandria via LeMat-Bulk
Functional: GGA-PBE
Structure: optimized geometry

The structure in POSCAR format:
```
KAg2AsW
1.0
5.1490 0.0000 0.0000
0.0000 5.1490 0.0000
0.0000 0.0000 4.8368
K Ag As W
1 2 1 1
direct
0.0000 0.0000 0.0000
0.0000 0.5000 0.5000
0.5000 0.0000 0.5000
0.5000 0.5000 0.5000
0.5000 0.5000 0.0000
```

Properties
Its formation enthalpy at 0 K is 0.818 eV/atom. The calculation puts the energy at -4.06 eV/atom. The calculation puts the mass density at 6.7 g/cm³. As for the symmetry: P4/mmm. Its density of states at the Fermi level is 2.334 states/eV/f.u.

[6]
Compound: K2ZnAgAs2
Source: Alexandria via LeMat-Bulk
Functional: GGA-PBE
Structure: optimized geometry

The structure in POSCAR format:
```
K2ZnAgAs2
1.0
-3.1372 7.9434 3.1123
3.1372 -7.9434 3.1123
3.1372 7.9434 -3.1123
K Zn Ag As
4 2 2 4
direct
0.1716 0.2373 0.4088
0.3284 0.7373 0.0657
0.6716 0.2627 0.9343
0.8284 0.7627 0.5912
0.2500 0.7500 0.5000
0.7500 0.2500 0.5000
0.2500 0.2500 0.0000
0.7500 0.7500 0.0000
0.0958 0.7299 0.8257
0.4042 0.2299 0.6341
0.5958 0.7701 0.3659
0.9042 0.2701 0.1743
```

Properties
Its formation enthalpy at 0 K is -0.317 eV/atom. The calculation puts the energy at -2.92 eV/atom. The calculation puts the mass density at 4.3 g/cm³. As for the symmetry: Ibam. Its density of states at the Fermi level is 4.116 states/eV/f.u.

[7]
Compound: K2ZnAgAs
Source: Alexandria via LeMat-Bulk
Functional: GGA-PBE
Structure: optimized geometry

The structure in POSCAR format:
```
K2ZnAgAs
1.0
6.4026 0.0000 0.0000
0.0000 6.4026 0.0000
0.0000 0.0000 4.7750
K Zn Ag As
2 1 1 1
direct
0.0000 0.5000 0.0000
0.5000 0.0000 0.0000
0.0000 0.0000 0.5000
0.5000 0.5000 0.0000
0.5000 0.5000 0.5000
```

Properties
Its formation enthalpy at 0 K is 0.067 eV/atom. The calculation puts the energy at -2.13 eV/atom. The calculation puts the mass density at 2.8 g/cm³. As for the symmetry: P4/mmm. Its density of states at the Fermi level is 0.480 states/eV/f.u.

[8]
Compound: KZn2AgAs
Source: Alexandria via LeMat-Bulk
Functional: GGA-PBE
Structure: optimized geometry

The structure in POSCAR format:
```
KZn2AgAs
1.0
4.9559 0.0000 0.0000
0.0000 4.9559 0.0000
0.0000 0.0000 6.0289
K Zn Ag As
1 2 1 1
direct
0.0000 0.0000 0.0000
0.0000 0.5000 0.5000
0.5000 0.0000 0.5000
0.0000 0.0000 0.5000
0.5000 0.5000 0.0000
```

Properties
Its formation enthalpy at 0 K is 0.459 eV/atom. The calculation puts the energy at -1.77 eV/atom. The calculation puts the mass density at 4.0 g/cm³. As for the symmetry: P4/mmm. Its density of states at the Fermi level is 2.995 states/eV/f.u.

[9]
Compound: KZrAg2As
Source: Alexandria via LeMat-Bulk
Functional: GGA-PBE
Structure: optimized geometry

The structure in POSCAR format:
```
KZrAg2As
1.0
5.0108 0.0000 0.0000
0.0000 5.0108 0.0000
0.0000 0.0000 5.7613
K Zr Ag As
1 1 2 1
direct
0.0000 0.0000 0.0000
0.5000 0.5000 0.0000
0.0000 0.5000 0.5000
0.5000 0.0000 0.5000
0.0000 0.0000 0.5000
```

Properties
Its formation enthalpy at 0 K is 0.871 eV/atom. The calculation puts the energy at -3.13 eV/atom. The calculation puts the mass density at 4.8 g/cm³. As for the symmetry: P4/mmm. Its density of states at the Fermi level is 5.094 states/eV/f.u.

[10]
Compound: LaAgAs4
Source: Alexandria via LeMat-Bulk
Functional: GGA-PBE
Structure: optimized geometry

The structure in POSCAR format:
```
LaAgAs4
1.0
0.0000 4.0270 4.0270
4.0270 0.0000 4.0270
4.0270 4.0270 0.0000
La Ag As
1 1 4
direct
0.0000 0.0000 0.0000
0.7500 0.7500 0.7500
0.3784 0.3784 0.3784
0.3784 0.3784 0.8649
0.3784 0.8649 0.3784
0.8649 0.3784 0.3784
```

Properties
Its formation enthalpy at 0 K is -0.205 eV/atom. The calculation puts the energy at -4.60 eV/atom. The calculation puts the mass density at 6.9 g/cm³. As for the symmetry: F-43m. Its density of states at the Fermi level is 5.693 states/eV/f.u.

[11]
Compound: LaAg2As2
Source: Alexandria via LeMat-Bulk
Functional: GGA-PBE
Structure: optimized geometry

The structure in POSCAR format:
```
LaAg2As2
1.0
8.0803 0.0000 0.0000
0.0000 8.0803 0.0000
0.0000 0.0000 3.3605
La Ag As
2 4 4
direct
0.0000 0.0000 0.0000
0.5000 0.5000 0.0000
0.1352 0.3648 0.5000
0.3648 0.8648 0.5000
0.6352 0.1352 0.5000
0.8648 0.6352 0.5000
0.1606 0.6606 0.0000
0.3394 0.1606 0.0000
0.6606 0.8394 0.0000
0.8394 0.3394 0.0000
```

Properties
Its formation enthalpy at 0 K is -0.258 eV/atom. The calculation puts the energy at -4.24 eV/atom. The calculation puts the mass density at 7.6 g/cm³. As for the symmetry: P4/mbm. Its density of states at the Fermi level is 3.629 states/eV/f.u.

[12]
Compound: LaAg3As
Source: Alexandria via LeMat-Bulk
Functional: GGA-PBE
Structure: optimized geometry

The structure in POSCAR format:
```
LaAg3As
1.0
5.0282 0.0000 0.0000
0.0000 5.0282 0.0000
0.0000 0.0000 5.0282
La Ag As
1 3 1
direct
0.0000 0.0000 0.0000
0.0000 0.5000 0.5000
0.5000 0.0000 0.5000
0.5000 0.5000 0.0000
0.5000 0.5000 0.5000
```

Properties
Its formation enthalpy at 0 K is 0.097 eV/atom. The calculation puts the energy at -3.53 eV/atom. The calculation puts the mass density at 7.0 g/cm³. As for the symmetry: Pm-3m. Its density of states at the Fermi level is 5.650 states/eV/f.u.

What is the formula in the second record?
KTaAgAs2